[1]
{"formula": "CoHgPb2", "functional": "PBE-GGA", "state": "relaxed", "m_tot_mub_per_fu": 1.5, "e_tot_ev_per_cell": -12.80, "delta_e_f_ev_per_atom": 0.506, "cell": [[5.147, 0.000, 0.000], [0.000, 5.141, 0.000], [0.000, 0.000, 3.584]], "species": ["Hg", "Pb", "Pb", "Co"], "frac_coords": [[0.000, 0.500, 0.500], [0.000, 0.000, 0.000], [0.500, 0.500, 0.000], [0.500, 0.000, 0.500]]}

[2]
{"formula": "TlIn2Sb", "functional": "PBE-GGA", "state": "relaxed", "m_tot_mub_per_fu": 0.0, "e_tot_ev_per_cell": -11.80, "formation_energy_uncorrected_ev_per_atom": 0.042, "polymorph_energy_ev_per_atom": 0.022, "cell": [[5.943, -0.012, 0.000], [1.922, 5.623, 0.000], [-3.932, -2.806, 3.461]], "species": ["Sb", "In", "In", "Tl"], "frac_coords": [[0.500, 0.500, 0.000], [0.000, 0.000, 0.000], [0.250, 0.750, 0.500], [0.750, 0.250, 0.500]]}

[3]
{"formula": "FeTcP2", "functional": "PBE-GGA", "state": "relaxed", "m_tot_mub_per_fu": 0.8, "e_tot_ev_per_cell": -31.01, "polymorph_energy_ev_per_atom": 0.067, "delta_e_f_ev_per_atom": -0.342, "cell": [[4.300, -0.020, 0.015], [3.287, 2.771, 0.015], [0.960, 0.348, 4.102]], "species": ["P", "P", "Tc", "Fe"], "frac_coords": [[0.993, 0.993, 0.065], [0.754, 0.754, 0.719], [0.492, 0.492, 0.566], [0.262, 0.262, 0.150]]}

[4]
{"formula": "NaCSe2", "functional": "PBE-GGA", "state": "relaxed", "m_tot_mub_per_fu": 0.0, "e_tot_ev_per_cell": -31.49, "formation_energy_uncorrected_ev_per_atom": 0.442, "cell": [[-3.053, 5.646, -0.279], [-1.346, -0.418, 6.269], [1.323, 4.563, 3.881]], "species": ["Se", "Se", "Se", "Se", "Na", "Na", "C", "C"], "frac_coords": [[0.514, 0.125, 0.250], [0.875, 0.764, 0.750], [0.375, 0.486, 0.750], [0.236, 0.625, 0.250], [0.750, 0.250, 0.500], [0.000, 0.000, 0.000], [0.500, 0.500, 0.000], [0.250, 0.750, 0.500]]}

[5]
{"formula": "BaReRh2", "functional": "PBE-GGA", "state": "relaxed", "m_tot_mub_per_fu": 0.0, "e_tot_ev_per_cell": -28.39, "polymorph_energy_ev_per_atom": 0.000, "delta_e_f_ev_per_atom": 0.170, "cell": [[1.310, -0.237, -6.209], [-2.918, -1.070, -5.538], [-1.454, 3.035, -5.386]], "species": ["Rh", "Rh", "Re", "Ba"], "frac_coords": [[0.196, 0.196, 0.196], [0.804, 0.804, 0.804], [0.500, 0.500, 0.500], [0.000, 0.000, 0.000]]}

[6]
{"formula": "ZnAg2Te", "functional": "PBE-GGA", "state": "relaxed", "m_tot_mub_per_fu": 0.0, "e_tot_ev_per_cell": -9.66, "formation_energy_uncorrected_ev_per_atom": 0.114, "polymorph_energy_ev_per_atom": 0.087, "cell": [[5.377, 0.017, 0.000], [1.936, 5.017, 0.000], [-3.656, -2.517, 3.035]], "species": ["Te", "Zn", "Ag", "Ag"], "frac_coords": [[0.500, 0.500, 0.000], [0.750, 0.250, 0.500], [0.250, 0.750, 0.500], [0.000, 0.000, 0.000]]}

[7]
{"formula": "Co2NiSn6", "functional": "PBE-GGA", "state": "relaxed", "m_tot_mub_per_fu": 0.0, "e_tot_ev_per_cell": -133.20, "polymorph_energy_ev_per_atom": 0.000, "delta_e_f_ev_per_atom": -0.043, "cell": [[6.173, 0.000, 0.000], [0.000, 8.904, -5.141], [0.000, 0.000, 10.282]], "species": ["Sn", "Sn", "Sn", "Sn", "Sn", "Sn", "Sn", "Sn", "Sn", "Sn", "Sn", "Sn", "Sn", "Sn", "Sn", "Sn", "Sn", "Sn", "Ni", "Ni", "Ni", "Co", "Co", "Co", "Co", "Co", "Co"], "frac_coords": [[0.203, 0.889, 0.445], [0.697, 0.110, 0.220], [0.267, 0.561, 0.780], [0.733, 0.780, 0.561], [0.697, 0.110, 0.890], [0.303, 0.890, 0.110], [0.733, 0.439, 0.220], [0.797, 0.111, 0.555], [0.267, 0.220, 0.780], [0.303, 0.890, 0.780], [0.267, 0.220, 0.439], [0.797, 0.445, 0.555], [0.203, 0.555, 0.111], [0.697, 0.780, 0.890], [0.203, 0.555, 0.445], [0.797, 0.445, 0.889], [0.303, 0.220, 0.110], [0.733, 0.780, 0.220], [0.480, 0.667, 0.333], [0.000, 0.000, 0.000], [0.520, 0.333, 0.667], [0.000, 0.700, 0.000], [0.000, 0.000, 0.700], [0.000, 0.000, 0.300], [0.000, 0.700, 0.700], [0.000, 0.300, 0.000], [0.000, 0.300, 0.300]]}

[8]
{"formula": "FeTePb2", "functional": "PBE-GGA", "state": "relaxed", "m_tot_mub_per_fu": 2.0, "e_tot_ev_per_cell": -18.21, "formation_energy_uncorrected_ev_per_atom": 0.202, "cell": [[-5.440, 3.573, 2.254], [-6.809, 0.780, 0.684], [-4.397, -0.721, 5.116]], "species": ["Te", "Fe", "Pb", "Pb"], "frac_coords": [[0.410, 0.410, 0.634], [0.797, 0.797, 0.564], [0.234, 0.234, 0.313], [0.059, 0.059, 0.990]]}